# 1
{
  "formula": "RePRh4",
  "functional": "PBE",
  "state": "optimized geometry",
  "lattice": [[0.000, 3.577, 3.577], [3.577, 0.000, 3.577], [3.577, 3.577, 0.000]],
  "species": ["Re", "P", "Rh", "Rh", "Rh", "Rh"],
  "frac_coords": [[0.000, 0.000, 0.000], [0.750, 0.750, 0.750], [0.375, 0.375, 0.375], [0.375, 0.375, 0.876], [0.375, 0.876, 0.375], [0.876, 0.375, 0.375]],
  "delta_e_f_ev_per_atom": 0.71
}

# 2
{
  "formula": "TaGaB2I",
  "functional": "PBE",
  "state": "optimized geometry",
  "lattice": [[4.098, 0.000, 0.000], [0.000, 4.098, 0.000], [0.000, 0.000, 5.426]],
  "species": ["Ta", "Ga", "B", "B", "I"],
  "frac_coords": [[0.000, 0.000, 0.000], [0.000, 0.000, 0.500], [0.000, 0.500, 0.500], [0.500, 0.000, 0.500], [0.500, 0.500, 0.000]],
  "raw_formation_energy_ev_per_atom": 1.74
}